Entry 1:
This record from the Alexandria database describes NaAlSb3 after structural relaxation. The functional is PBE-GGA.

Cell: 5.4070 5.4070 5.4070 Å, 90.00 90.00 90.00°
Space group Pm-3m (No. 221)
Unique sites:
Na 0.0000 0.0000 0.0000
Al 0.5000 0.5000 0.5000
Sb 0.0000 0.0000 0.5000

Output
**Energy**: -13.1 eV per cell
**Formation energy (no corrections)**: 863.1 meV/atom
**Offset from the most stable computed form**: 599 meV per atom
**Volume**: 158 Å³ per cell
**Density of states at the Fermi level**: 4.41 states/eV per cell

***

Entry 2:
This record from the Alexandria database describes PbW2Br after structural relaxation. The functional is PBE-GGA.

Cell: 4.3981 4.3981 18.2536 Å, 90.00 90.00 90.00°
Space group I-42d (No. 122)
Unique sites:
Pb 0.0000 0.0000 0.0000
W 0.1658 0.2500 0.6250
Br 0.0000 0.0000 0.5000

Output
**Energy**: -102.6 eV per cell
**Formation energy (no corrections)**: 1409.8 meV/atom
**Offset from the most stable computed form**: 1053 meV per atom
**Volume**: 353 Å³ per cell
**Density of states at the Fermi level**: 16.55 states/eV per cell